Record 1
Density functional theory data (PBE) for a geometry-optimized CaZrAu2 structure.

Values from the calculation:
- energy of formation from the pure elements (eV/atom) = -0.398
- space group = Imm2 (44)
- magnetic moment (μB/f.u.) = 0.0

Unit cell a=6.108 b=6.108 c=6.108 alpha=147.04 beta=134.01 gamma=57.73
Positions (direct):
Ca1 0.000 0.000 0.000
Zr1 0.281 0.781 0.500
Au1 0.501 0.501 0.000
Au2 0.728 0.228 0.500

Record 2
Density functional theory data (PBE) for a geometry-optimized Dy2ScPdO6 structure.

Values from the calculation:
- space group = P1 (1)
- formation energy from raw total energies (eV/atom) = -2.674
- magnetic moment (μB/f.u.) = 1.0

Unit cell a=5.498 b=5.623 c=5.763 alpha=61.84 beta=89.92 gamma=61.52
Positions (direct):
Dy1 0.000 0.000 0.000
Dy2 0.500 0.005 0.490
Sc1 0.220 0.561 0.646
Pd1 0.711 0.576 0.126
O1 0.102 0.041 0.357
O2 0.323 0.102 0.822
O3 0.429 0.487 0.342
O4 0.585 0.482 0.853
O5 0.837 0.729 0.342
O6 0.928 0.726 0.848

Record 3
Density functional theory data (PBE) for a geometry-optimized BaMg4Ir structure.

Values from the calculation:
- energy of formation from the pure elements (eV/atom) = 0.199
- excess energy over the best structure of this formula in the dataset (meV per atom) = 206
- space group = F-43m (216)
- magnetic moment (μB/f.u.) = 0.0

Unit cell a=5.821 b=5.821 c=5.821 alpha=60.00 beta=60.00 gamma=60.00
Positions (direct):
Ba1 0.000 0.000 0.000
Mg1 0.377 0.377 0.377
Mg2 0.377 0.377 0.869
Mg3 0.377 0.869 0.377
Mg4 0.869 0.377 0.377
Ir1 0.750 0.750 0.750

Record 4
Density functional theory data (PBE) for a geometry-optimized GdZnCuIr structure.

Values from the calculation:
- energy of formation from the pure elements (eV/atom) = -0.275
- space group = F-43m (216)
- magnetic moment (μB/f.u.) = 7.0

Unit cell a=4.634 b=4.634 c=4.634 alpha=60.00 beta=60.00 gamma=60.00
Positions (direct):
Gd1 0.000 0.000 0.000
Zn1 0.500 0.500 0.500
Cu1 0.750 0.750 0.750
Ir1 0.250 0.250 0.250

Record 5
Density functional theory data (PBE) for a geometry-optimized Sc6GePd5 structure.

Values from the calculation:
- energy of formation from the pure elements (eV/atom) = -0.873
- space group = Immm (71)
- magnetic moment (μB/f.u.) = 0.0

Unit cell a=8.134 b=8.134 c=8.134 alpha=146.47 beta=131.81 gamma=59.98
Positions (direct):
Sc1 0.081 0.332 0.749
Sc2 0.247 0.000 0.247
Sc3 0.417 0.668 0.749
Sc4 0.583 0.332 0.251
Sc5 0.753 0.000 0.753
Sc6 0.919 0.668 0.251
Ge1 0.500 0.500 0.000
Pd1 0.000 0.500 0.500
Pd2 0.167 0.167 0.000
Pd3 0.335 0.835 0.500
Pd4 0.665 0.165 0.500
Pd5 0.833 0.833 0.000

Record 6
Density functional theory data (PBE) for a geometry-optimized Pu3SnF structure.

Values from the calculation:
- space group = Pm-3m (221)
- formation energy from raw total energies (eV/atom) = -0.890
- magnetic moment (μB/f.u.) = 18.8

Unit cell a=4.972 b=4.972 c=4.972 alpha=90.00 beta=90.00 gamma=90.00
Positions (direct):
Pu1 0.000 0.000 0.500
Pu2 0.000 0.500 0.000
Pu3 0.500 0.000 0.000
Sn1 0.500 0.500 0.500
F1 0.000 0.000 0.000